# 1
A relaxed structure of Rb2TeSe3, computed with PBE.

Crystal system: trigonal
Energy relative to the elements, uncorrected, meV per atom: -646.0
Energy, eV per atom: -3.23

Lattice parameters (Å, degrees): 8.230 8.230 9.433 90.00 90.00 120.00
Positions (direct):
Rb 0.000 0.000 0.000
Rb 0.000 0.000 0.500
Rb 0.333 0.667 0.102
Rb 0.667 0.333 0.898
Te 0.333 0.667 0.661
Te 0.667 0.333 0.339
Se 0.174 0.348 0.773
Se 0.174 0.826 0.773
Se 0.348 0.174 0.227
Se 0.652 0.826 0.773
Se 0.826 0.174 0.227
Se 0.826 0.652 0.227

# 2
A relaxed structure of Rb3Te4Se2, computed with PBE.

Fermi-level density of states, states/eV/cell: 2.23
Crystal system: triclinic
Energy relative to the elements, uncorrected, meV per atom: -534.3
Energy, eV per atom: -3.03

Lattice parameters (Å, degrees): 4.662 6.668 12.344 101.08 90.52 109.71
Positions (direct):
Rb 0.000 0.000 0.000
Rb 0.387 0.761 0.646
Rb 0.613 0.239 0.354
Te 0.085 0.174 0.595
Te 0.252 0.502 0.898
Te 0.748 0.498 0.102
Te 0.915 0.826 0.405
Se 0.311 0.630 0.231
Se 0.689 0.370 0.769

# 3
A relaxed structure of Rb3TeSe4, computed with PBE.

Fermi-level density of states, states/eV/cell: 0.51
Crystal system: orthorhombic
Energy relative to the elements, uncorrected, meV per atom: -747.3
Energy, eV per atom: -3.25

Lattice parameters (Å, degrees): 9.966 11.737 10.712 90.00 90.00 90.00
Positions (direct):
Rb 0.077 0.046 0.193
Rb 0.077 0.454 0.193
Rb 0.143 0.750 0.424
Rb 0.357 0.250 0.924
Rb 0.423 0.546 0.693
Rb 0.423 0.954 0.693
Rb 0.577 0.046 0.307
Rb 0.577 0.454 0.307
Rb 0.643 0.750 0.076
Rb 0.857 0.250 0.576
Rb 0.923 0.546 0.807
Rb 0.923 0.954 0.807
Te 0.231 0.750 0.986
Te 0.269 0.250 0.486
Te 0.731 0.750 0.514
Te 0.769 0.250 0.014
Se 0.000 0.250 0.898
Se 0.000 0.750 0.102
Se 0.112 0.054 0.520
Se 0.112 0.446 0.520
Se 0.171 0.750 0.756
Se 0.329 0.250 0.256
Se 0.388 0.554 0.020
Se 0.388 0.946 0.020
Se 0.500 0.250 0.602
Se 0.500 0.750 0.398
Se 0.612 0.054 0.980
Se 0.612 0.446 0.980
Se 0.671 0.750 0.744
Se 0.829 0.250 0.244
Se 0.888 0.554 0.480
Se 0.888 0.946 0.480